(1)
Computed, not measured: a relaxed structure of Sc2FePd at the GGA-PBE level of DFT.

Structure (CIF):
```
data_Sc2FePd
_cell_length_a 3.2160
_cell_length_b 3.2160
_cell_length_c 6.3806
_cell_angle_alpha 90.00
_cell_angle_beta 90.00
_cell_angle_gamma 90.00
_space_group_name_H-M_alt 'P 4/m m m'
_space_group_IT_number 123
_space_group_name_Hall '-P 4 2'
loop_
_atom_site_label
_atom_site_fract_x
_atom_site_fract_y
_atom_site_fract_z
Sc1 0.0000 0.0000 0.2328
Fe1 0.5000 0.5000 0.0000
Pd1 0.5000 0.5000 0.5000
```

Calculated values
Crystal system: tetragonal
Raw total energy (eV per atom): -7.110


(2)
Computed, not measured: a relaxed structure of Nd2Y3Au2 at the GGA-PBE level of DFT.

Structure (CIF):
```
data_Nd2Y3Au2
_cell_length_a 12.9959
_cell_length_b 3.7500
_cell_length_c 9.3040
_cell_angle_alpha 90.00
_cell_angle_beta 116.67
_cell_angle_gamma 90.00
_space_group_name_H-M_alt 'C 1 2/m 1'
_space_group_IT_number 12
_space_group_name_Hall '-C 2y'
loop_
_atom_site_label
_atom_site_fract_x
_atom_site_fract_y
_atom_site_fract_z
Nd1 0.1532 0.0000 0.3144
Y1 0.0000 0.5000 0.5000
Y2 0.1139 0.5000 0.9453
Au1 0.1666 0.0000 0.7346
```

Calculated values
Crystal system: monoclinic
Raw total energy (eV per atom): -5.569


(3)
Computed, not measured: a relaxed structure of Ce2DyGe3Ir4 at the GGA-PBE level of DFT.

Structure (CIF):
```
data_Ce2DyGe3Ir4
_cell_length_a 4.1620
_cell_length_b 4.1620
_cell_length_c 11.3571
_cell_angle_alpha 90.00
_cell_angle_beta 90.00
_cell_angle_gamma 90.00
_space_group_name_H-M_alt 'P -4 m 2'
_space_group_IT_number 115
_space_group_name_Hall 'P -4 -2'
loop_
_atom_site_label
_atom_site_fract_x
_atom_site_fract_y
_atom_site_fract_z
Ce1 0.0000 0.5000 0.2310
Dy1 0.0000 0.0000 0.5000
Ge1 0.0000 0.5000 0.8786
Ge2 0.5000 0.5000 0.5000
Ir1 0.0000 0.0000 0.0000
Ir2 0.0000 0.5000 0.6627
Ir3 0.5000 0.5000 0.0000
```

Calculated values
Crystal system: tetragonal
Raw total energy (eV per atom): -7.353


(4)
Computed, not measured: a relaxed structure of Zr2Fe3Ni at the GGA-PBE level of DFT.

Structure (CIF):
```
data_Zr2Fe3Ni
_cell_length_a 4.8963
_cell_length_b 4.8963
_cell_length_c 12.4290
_cell_angle_alpha 90.00
_cell_angle_beta 90.00
_cell_angle_gamma 120.00
_space_group_name_H-M_alt 'R -3 m'
_space_group_IT_number 166
_space_group_name_Hall '-R 3 2"'
loop_
_atom_site_label
_atom_site_fract_x
_atom_site_fract_y
_atom_site_fract_z
Zr1 0.0000 0.0000 0.1226
Fe1 0.0000 0.5000 0.0000
Ni1 0.0000 0.0000 0.5000
```

Calculated values
Crystal system: trigonal
Raw total energy (eV per atom): -8.321


(5)
Computed, not measured: a relaxed structure of Pm2InP at the GGA-PBE level of DFT.

Structure (CIF):
```
data_Pm2InP
_cell_length_a 7.4314
_cell_length_b 7.4314
_cell_length_c 7.4314
_cell_angle_alpha 90.00
_cell_angle_beta 90.00
_cell_angle_gamma 90.00
_space_group_name_H-M_alt 'F m -3 m'
_space_group_IT_number 225
_space_group_name_Hall '-F 4 2 3'
loop_
_atom_site_label
_atom_site_fract_x
_atom_site_fract_y
_atom_site_fract_z
Pm1 0.2500 0.2500 0.2500
In1 0.0000 0.0000 0.0000
P1 0.0000 0.0000 0.5000
```

Calculated values
Relative energy among the computed polymorphs (eV per atom): 0.4527
Crystal system: cubic


(6)
Computed, not measured: a relaxed structure of Sm2InGa at the GGA-PBE level of DFT.

Structure (CIF):
```
data_Sm2InGa
_cell_length_a 7.4932
_cell_length_b 7.4932
_cell_length_c 7.4932
_cell_angle_alpha 90.00
_cell_angle_beta 90.00
_cell_angle_gamma 90.00
_space_group_name_H-M_alt 'F m -3 m'
_space_group_IT_number 225
_space_group_name_Hall '-F 4 2 3'
loop_
_atom_site_label
_atom_site_fract_x
_atom_site_fract_y
_atom_site_fract_z
Sm1 0.2500 0.2500 0.2500
In1 0.0000 0.0000 0.0000
Ga1 0.0000 0.0000 0.5000
```

Calculated values
Relative energy among the computed polymorphs (eV per atom): 0.0187
Crystal system: cubic


(7)
Computed, not measured: a relaxed structure of CoRe at the GGA-PBE level of DFT.

Structure (CIF):
```
data_CoRe
_cell_length_a 9.4753
_cell_length_b 2.6381
_cell_length_c 4.5368
_cell_angle_alpha 90.00
_cell_angle_beta 115.95
_cell_angle_gamma 90.00
_space_group_name_H-M_alt 'C 1 2/m 1'
_space_group_IT_number 12
_space_group_name_Hall '-C 2y'
loop_
_atom_site_label
_atom_site_fract_x
_atom_site_fract_y
_atom_site_fract_z
Co1 0.1259 0.0000 0.2978
Re1 0.1191 0.5000 0.7884
```

Calculated values
Crystal system: monoclinic
Raw total energy (eV per atom): -9.729


(8)
Computed, not measured: a relaxed structure of KTcSe2 at the GGA-PBE level of DFT.

Structure (CIF):
```
data_KTcSe2
_cell_length_a 6.7320
_cell_length_b 6.7320
_cell_length_c 6.7320
_cell_angle_alpha 90.00
_cell_angle_beta 90.00
_cell_angle_gamma 90.00
_space_group_name_H-M_alt 'F m -3 m'
_space_group_IT_number 225
_space_group_name_Hall '-F 4 2 3'
loop_
_atom_site_label
_atom_site_fract_x
_atom_site_fract_y
_atom_site_fract_z
K1 0.0000 0.0000 0.0000
Tc1 0.0000 0.0000 0.5000
Se1 0.2500 0.2500 0.2500
```

Calculated values
ΔE_f (raw) (meV per atom): 147
Relative energy among the computed polymorphs (eV per atom): 0.6395
Crystal system: cubic


(9)
Computed, not measured: a relaxed structure of CsCuHgBr2 at the GGA-PBE level of DFT.

Structure (CIF):
```
data_CsCuHgBr2
_cell_length_a 5.4673
_cell_length_b 5.4673
_cell_length_c 5.2873
_cell_angle_alpha 90.00
_cell_angle_beta 90.00
_cell_angle_gamma 90.00
_space_group_name_H-M_alt 'P 4/m m m'
_space_group_IT_number 123
_space_group_name_Hall '-P 4 2'
loop_
_atom_site_label
_atom_site_fract_x
_atom_site_fract_y
_atom_site_fract_z
Cs1 0.0000 0.0000 0.0000
Cu1 0.5000 0.5000 0.5000
Hg1 0.5000 0.5000 0.0000
Br1 0.0000 0.5000 0.5000
```

Calculated values
ΔE_f (raw) (meV per atom): -735
Crystal system: tetragonal


(10)
Computed, not measured: a relaxed structure of PSeI2 at the GGA-PBE level of DFT.

Structure (CIF):
```
data_PSeI2
_cell_length_a 7.3729
_cell_length_b 7.3729
_cell_length_c 7.3729
_cell_angle_alpha 90.00
_cell_angle_beta 90.00
_cell_angle_gamma 90.00
_space_group_name_H-M_alt 'F m -3 m'
_space_group_IT_number 225
_space_group_name_Hall '-F 4 2 3'
loop_
_atom_site_label
_atom_site_fract_x
_atom_site_fract_y
_atom_site_fract_z
P1 0.0000 0.0000 0.0000
Se1 0.0000 0.0000 0.5000
I1 0.2500 0.2500 0.2500
```

Calculated values
ΔE_f (raw) (meV per atom): 897
Relative energy among the computed polymorphs (eV per atom): 0.8573
Crystal system: cubic


(11)
Computed, not measured: a relaxed structure of Np2MnGa at the GGA-PBE level of DFT.

Structure (CIF):
```
data_Np2MnGa
_cell_length_a 2.8832
_cell_length_b 2.8832
_cell_length_c 31.3307
_cell_angle_alpha 90.00
_cell_angle_beta 90.00
_cell_angle_gamma 120.00
_space_group_name_H-M_alt 'R -3 m'
_space_group_IT_number 166
_space_group_name_Hall '-R 3 2"'
loop_
_atom_site_label
_atom_site_fract_x
_atom_site_fract_y
_atom_site_fract_z
Np1 0.0000 0.0000 0.0972
Mn1 0.0000 0.0000 0.5000
Ga1 0.0000 0.0000 0.0000
```

Calculated values
Crystal system: trigonal
Raw total energy (eV per atom): -9.082


(12)
Computed, not measured: a relaxed structure of LaH2RuI at the GGA-PBE level of DFT.

Structure (CIF):
```
data_LaH2RuI
_cell_length_a 3.8521
_cell_length_b 3.8521
_cell_length_c 7.3844
_cell_angle_alpha 90.00
_cell_angle_beta 90.00
_cell_angle_gamma 90.00
_space_group_name_H-M_alt 'P 4/m m m'
_space_group_IT_number 123
_space_group_name_Hall '-P 4 2'
loop_
_atom_site_label
_atom_site_fract_x
_atom_site_fract_y
_atom_site_fract_z
La1 0.0000 0.0000 0.0000
H1 0.0000 0.5000 0.5000
Ru1 0.5000 0.5000 0.0000
I1 0.0000 0.0000 0.5000
```

Calculated values
Relative energy among the computed polymorphs (eV per atom): 0.4139
Crystal system: tetragonal


(13)
Computed, not measured: a relaxed structure of MgNp2B2Ru5 at the GGA-PBE level of DFT.

Structure (CIF):
```
data_MgNp2B2Ru5
_cell_length_a 9.6484
_cell_length_b 9.6484
_cell_length_c 3.1034
_cell_angle_alpha 90.00
_cell_angle_beta 90.00
_cell_angle_gamma 90.00
_space_group_name_H-M_alt 'P 4/m b m'
_space_group_IT_number 127
_space_group_name_Hall '-P 4 2ab'
loop_
_atom_site_label
_atom_site_fract_x
_atom_site_fract_y
_atom_site_fract_z
Mg1 0.0000 0.0000 0.0000
Np1 0.1774 0.3226 0.0000
B1 0.1228 0.6228 0.0000
Ru1 0.0000 0.5000 0.5000
Ru2 0.0715 0.7779 0.5000
```

Calculated values
Crystal system: tetragonal
Raw total energy (eV per atom): -8.999


(14)
Computed, not measured: a relaxed structure of Ca2MgPt3 at the GGA-PBE level of DFT.

Structure (CIF):
```
data_Ca2MgPt3
_cell_length_a 5.6661
_cell_length_b 5.6661
_cell_length_c 12.6524
_cell_angle_alpha 90.00
_cell_angle_beta 90.00
_cell_angle_gamma 120.00
_space_group_name_H-M_alt 'R -3 m'
_space_group_IT_number 166
_space_group_name_Hall '-R 3 2"'
loop_
_atom_site_label
_atom_site_fract_x
_atom_site_fract_y
_atom_site_fract_z
Ca1 0.0000 0.0000 0.1242
Mg1 0.0000 0.0000 0.5000
Pt1 0.0000 0.5000 0.0000
```

Calculated values
Crystal system: trigonal
Raw total energy (eV per atom): -4.879


(15)
Computed, not measured: a relaxed structure of Ce3PmPu2S6 at the GGA-PBE level of DFT.

Structure (CIF):
```
data_Ce3PmPu2S6
_cell_length_a 6.9226
_cell_length_b 11.9943
_cell_length_c 6.9443
_cell_angle_alpha 90.00
_cell_angle_beta 109.42
_cell_angle_gamma 90.00
_space_group_name_H-M_alt 'C 1 2/m 1'
_space_group_IT_number 12
_space_group_name_Hall '-C 2y'
loop_
_atom_site_label
_atom_site_fract_x
_atom_site_fract_y
_atom_site_fract_z
Ce1 0.0000 0.0000 0.0000
Ce2 0.0000 0.3347 0.0000
Pm1 0.0000 0.5000 0.5000
Pu1 0.0000 0.1667 0.5000
S1 0.2434 0.0000 0.7444
S2 0.2492 0.1690 0.2548
```

Calculated values
ΔE_f (raw) (meV per atom): -1954
Crystal system: monoclinic


(16)
Computed, not measured: a relaxed structure of Tl3Cd11 at the GGA-PBE level of DFT.

Structure (CIF):
```
data_Tl3Cd11
_cell_length_a 4.9867
_cell_length_b 11.2107
_cell_length_c 12.8054
_cell_angle_alpha 90.00
_cell_angle_beta 90.00
_cell_angle_gamma 90.00
_space_group_name_H-M_alt 'I m m m'
_space_group_IT_number 71
_space_group_name_Hall '-I 2 2'
loop_
_atom_site_label
_atom_site_fract_x
_atom_site_fract_y
_atom_site_fract_z
Tl1 0.0000 0.0000 0.0000
Tl2 0.0000 0.0000 0.2740
Cd1 0.0000 0.1477 0.5000
Cd2 0.0000 0.2834 0.1465
Cd3 0.0000 0.3684 0.3688
Cd4 0.0000 0.5000 0.0000
```

Calculated values
Crystal system: orthorhombic
Raw total energy (eV per atom): -1.193


(17)
Computed, not measured: a relaxed structure of CaNiH2 at the GGA-PBE level of DFT.

Structure (CIF):
```
data_CaNiH2
_cell_length_a 5.6316
_cell_length_b 5.6316
_cell_length_c 5.6316
_cell_angle_alpha 90.00
_cell_angle_beta 90.00
_cell_angle_gamma 90.00
_space_group_name_H-M_alt 'F m -3 m'
_space_group_IT_number 225
_space_group_name_Hall '-F 4 2 3'
loop_
_atom_site_label
_atom_site_fract_x
_atom_site_fract_y
_atom_site_fract_z
Ca1 0.0000 0.0000 0.0000
Ni1 0.0000 0.0000 0.5000
H1 0.2500 0.2500 0.2500
```

Calculated values
Relative energy among the computed polymorphs (eV per atom): 0.5689
Crystal system: cubic


(18)
Computed, not measured: a relaxed structure of Te3As5S12 at the GGA-PBE level of DFT.

Structure (CIF):
```
data_Te3As5S12
_cell_length_a 15.8376
_cell_length_b 15.8376
_cell_length_c 15.8376
_cell_angle_alpha 90.00
_cell_angle_beta 90.00
_cell_angle_gamma 90.00
_space_group_name_H-M_alt 'I a -3 d'
_space_group_IT_number 230
_space_group_name_Hall '-I 4bd 2c 3'
loop_
_atom_site_label
_atom_site_fract_x
_atom_site_fract_y
_atom_site_fract_z
Te1 0.0000 0.2500 0.1250
As1 0.0000 0.0000 0.0000
As2 0.0000 0.2500 0.3750
S1 0.0148 0.0503 0.6552
```

Calculated values
ΔE_f (raw) (meV per atom): 256
Crystal system: cubic


(19)
Computed, not measured: a relaxed structure of ZnFe2Se2 at the GGA-PBE level of DFT.

Structure (CIF):
```
data_ZnFe2Se2
_cell_length_a 4.8304
_cell_length_b 4.8304
_cell_length_c 7.4244
_cell_angle_alpha 90.00
_cell_angle_beta 90.00
_cell_angle_gamma 90.00
_space_group_name_H-M_alt 'I 4/m m m'
_space_group_IT_number 139
_space_group_name_Hall '-I 4 2'
loop_
_atom_site_label
_atom_site_fract_x
_atom_site_fract_y
_atom_site_fract_z
Zn1 0.0000 0.0000 0.0000
Fe1 0.0000 0.0000 0.3464
Se1 0.0000 0.5000 0.2500
```

Calculated values
ΔE_f (raw) (meV per atom): 207
Relative energy among the computed polymorphs (eV per atom): 0.0555
Crystal system: tetragonal


(20)
Computed, not measured: a relaxed structure of TiSeNF2 at the GGA-PBE level of DFT.

Structure (CIF):
```
data_TiSeNF2
_cell_length_a 3.8666
_cell_length_b 3.8666
_cell_length_c 4.3095
_cell_angle_alpha 90.00
_cell_angle_beta 90.00
_cell_angle_gamma 90.00
_space_group_name_H-M_alt 'P 4/m m m'
_space_group_IT_number 123
_space_group_name_Hall '-P 4 2'
loop_
_atom_site_label
_atom_site_fract_x
_atom_site_fract_y
_atom_site_fract_z
Ti1 0.0000 0.0000 0.0000
Se1 0.5000 0.5000 0.5000
N1 0.0000 0.0000 0.5000
F1 0.0000 0.5000 0.0000
```

Calculated values
ΔE_f (raw) (meV per atom): -1138
Relative energy among the computed polymorphs (eV per atom): 0.0000
Crystal system: tetragonal